First-principles (PBE) data for a relaxed structure of Zn3Cu3Ni2, as listed in Alexandria via LeMat-Bulk.

Geometry as extended XYZ:
```
8
Lattice="-3.2410 1.8353 -0.1806 -1.8253 -3.2044 0.1924 -0.1170 0.4941 7.1186" Properties=species:S:1:pos:R:3 pbc="T T T"
Cu -1.6205 0.9177 -0.0903
Zn -1.6790 1.1647 3.4690
Ni -0.0292 0.1234 1.7785
Cu -2.6212 -0.3124 5.3662
Zn -0.9711 -1.3551 3.6555
Cu -2.5620 -0.5625 1.7641
Ni -0.0877 0.3707 5.3401
Zn -0.9127 -1.6022 0.0962
```

magnetic moment = 0.00 μB per formula unit
distance to the lowest polymorph of the same formula = 0.000 eV/atom
SG = Pmmm, No. 47
energy of formation = -0.135 eV per atom
energy = -0.1321 Ha/atom
volume = 98.3 Å³ per cell

***

First-principles (PBE) data for a relaxed structure of Zn2Cu2Ni7, as listed in Alexandria via LeMat-Bulk.

Geometry as extended XYZ:
```
11
Lattice="-1.9823 -4.1204 0.5738 -0.5441 0.3452 -6.2908 4.3873 -1.3994 0.1723" Properties=species:S:1:pos:R:3 pbc="T T T"
Ni 2.5864 -3.3619 -3.8552
Ni 0.2377 -4.3652 -3.7072
Ni -0.1674 -0.4157 -5.4727
Zn 2.3820 -2.2561 0.2987
Ni 2.0284 -4.7589 -0.0719
Ni 1.6232 -0.8094 -1.8375
Zn 0.0230 -3.2638 0.4474
Ni -0.2720 0.1726 -3.1454
Cu 1.2506 -3.1887 -1.7703
Cu 0.6104 -1.9859 -3.7744
Ni -0.7254 -1.8127 -1.6894
```

magnetic moment = 1.39 μB per formula unit
distance to the lowest polymorph of the same formula = 0.000 eV/atom
SG = C2/m, No. 12
energy of formation = 0.062 eV per atom
energy = -0.1688 Ha/atom
volume = 130.2 Å³ per cell

***

First-principles (PBE) data for a relaxed structure of Zn3Cu2Ni8, as listed in Alexandria via LeMat-Bulk.

Geometry as extended XYZ:
```
13
Lattice="4.6125 0.0000 0.0000 2.3063 3.9946 0.0000 2.3063 1.3315 8.9363" Properties=species:S:1:pos:R:3 pbc="T T T"
Ni 6.9188 3.9946 7.2538
Zn 6.9188 3.9946 4.8537
Ni 5.7698 1.9949 6.2495
Cu 4.6125 2.6630 0.6497
Ni 4.6125 1.3267 2.6868
Ni 2.3063 1.3315 1.6825
Ni 3.4552 1.9949 6.2495
Ni 4.6125 3.9994 6.2495
Zn 2.3063 1.3315 4.0825
Ni 3.4552 3.3312 2.6868
Zn 0.0000 0.0000 0.0000
Ni 5.7698 3.3312 2.6868
Cu 4.6125 2.6630 8.2866
```

magnetic moment = 0.10 μB per formula unit
SG = R-3m, No. 166
energy of formation = 0.126 eV per atom
energy = -0.1601 Ha/atom
volume = 164.7 Å³ per cell

***

First-principles (PBE) data for a relaxed structure of Zn3Cu6Ni2, as listed in Alexandria via LeMat-Bulk.

Geometry as extended XYZ:
```
11
Lattice="2.4698 0.0000 -0.6592 0.1013 9.6576 0.3797 0.2798 1.1933 6.0047" Properties=species:S:1:pos:R:3 pbc="T T T"
Cu 1.7539 8.6737 1.6152
Zn 0.0507 4.8288 0.1898
Cu 1.0969 2.1773 4.1100
Cu 1.7836 3.3238 1.7262
Zn 1.0372 4.7216 3.8863
Cu 2.7639 3.5369 5.3994
Zn 1.8136 6.1293 1.8389
Cu 1.0673 7.5271 3.9990
Ni 2.3232 9.7629 3.7482
Ni 0.5277 1.0880 1.9770
Cu 0.0870 7.3141 0.3258
```

magnetic moment = 0.00 μB per formula unit
SG = C2/m, No. 12
energy of formation = 0.112 eV per atom
energy = -0.1294 Ha/atom
volume = 143.8 Å³ per cell

***

First-principles (PBE) data for a relaxed structure of ZnCu6Ni3, as listed in Alexandria via LeMat-Bulk.

Geometry as extended XYZ:
```
20
Lattice="4.4271 0.0000 0.0000 0.0000 7.9066 -1.2348 0.0000 -2.9680 7.4317" Properties=species:S:1:pos:R:3 pbc="T T T"
Ni 1.9819 1.9108 0.1424
Ni 4.1954 -0.2876 1.8944
Ni 0.4188 1.3070 4.0248
Cu 1.5440 -1.0342 3.2863
Cu 3.7576 5.9728 2.9106
Cu 2.8670 0.3119 4.8178
Cu 1.9046 7.3185 -0.7661
Cu 2.3391 2.7924 4.4972
Cu 1.5440 1.5043 6.4717
Cu 0.1256 2.1462 1.6997
Cu 4.1181 -2.3799 6.9630
Cu 2.3391 1.1779 2.4714
Ni 4.1954 3.0278 6.0545
Cu 3.7576 3.4343 -0.2748
Ni 2.6324 3.6316 2.1721
Zn 2.9368 5.5546 0.6396
Cu 0.1256 3.7606 3.7255
Cu 0.6534 4.6267 1.3791
Ni 1.9819 5.2262 4.3025
Zn 0.7233 -0.6160 5.5573
```

magnetic moment = 0.00 μB per formula unit
distance to the lowest polymorph of the same formula = 0.133 eV/atom
SG = Cmc2_1, No. 36
energy of formation = 0.127 eV per atom
energy = -0.1541 Ha/atom
volume = 243.9 Å³ per cell

***

First-principles (PBE) data for a relaxed structure of Zn2Cu2Ni15, as listed in Alexandria via LeMat-Bulk.

Geometry as extended XYZ:
```
19
Lattice="6.0598 -0.2207 1.1611 0.9182 5.9939 1.1611 -0.2667 -0.2207 6.1643" Properties=species:S:1:pos:R:3 pbc="T T T"
Ni 4.5159 3.7362 2.5110
Ni 1.4027 3.7362 4.9730
Ni 2.1954 1.8164 5.9754
Ni 0.4591 2.9969 0.5805
Ni 0.1022 1.7143 4.6065
Ni 3.0299 -0.1103 0.5805
Cu 6.0431 4.9997 7.6415
Ni 1.7031 -0.2207 4.6065
Ni 0.5493 4.0590 2.7189
Ni 5.3086 1.8164 3.5135
Ni 2.5191 4.0590 1.1611
Ni 4.4589 1.7143 1.1611
Zn 2.4174 2.0001 3.0569
Zn 4.2939 3.5525 5.4296
Ni 2.7785 4.8745 3.5135
Cu 0.6682 0.5528 0.8449
Ni 3.9328 0.6781 4.9730
Ni -0.1334 -0.1103 3.0821
Ni 4.0900 -0.2207 2.7189
```

magnetic moment = 6.74 μB per formula unit
SG = R-3m, No. 166
energy of formation = 0.121 eV per atom
energy = -0.1840 Ha/atom
volume = 228.4 Å³ per cell

***

First-principles (PBE) data for a relaxed structure of Zn7CuNi4, as listed in Alexandria via LeMat-Bulk.

Geometry as extended XYZ:
```
12
Lattice="4.7178 -1.1978 1.6317 0.4403 4.2726 1.7590 1.1590 -1.0570 7.4875" Properties=species:S:1:pos:R:3 pbc="T T T"
Ni 3.0617 1.9313 4.4768
Cu 0.0000 0.0000 0.0000
Zn 2.3589 -0.5989 0.8159
Ni 1.6314 0.0745 3.1516
Ni 4.6857 1.9434 7.7266
Zn 3.9593 -0.5254 4.0720
Zn 2.5874 0.7755 8.7212
Zn 3.7297 1.2423 2.1570
Zn 0.9510 0.7092 5.5024
Zn 2.3578 2.5433 6.8062
Zn 5.3661 1.3087 5.3758
Ni 3.2554 0.0866 6.4014
```

magnetic moment = 0.00 μB per formula unit
distance to the lowest polymorph of the same formula = 0.000 eV/atom
SG = P-1, No. 2
energy of formation = -0.143 eV per atom
energy = -0.1159 Ha/atom
volume = 152.4 Å³ per cell

***

First-principles (PBE) data for a relaxed structure of Zn2CuNi, as listed in Alexandria via LeMat-Bulk.

Geometry as extended XYZ:
```
4
Lattice="-1.0761 -1.7085 -2.5870 0.7384 -2.3571 1.2496 -4.2873 -2.6738 3.5492" Properties=species:S:1:pos:R:3 pbc="T T T"
Zn -4.2490 -2.6718 3.5319
Zn -1.8129 -2.5174 2.4167
Ni -3.1998 -4.6274 2.3056
Cu -1.4253 -2.1120 -0.0938
```

magnetic moment = 0.00 μB per formula unit
SG = P2/m, No. 10
energy of formation = -0.160 eV per atom
energy = -0.1200 Ha/atom
volume = 50.3 Å³ per cell

***

First-principles (PBE) data for a relaxed structure of ZnCu2Ni2, as listed in Alexandria via LeMat-Bulk.

Geometry as extended XYZ:
```
5
Lattice="3.6117 0.0000 0.0000 1.8058 4.0290 -0.1192 1.8058 0.1316 4.0324" Properties=species:S:1:pos:R:3 pbc="T T T"
Cu 5.4175 3.2774 2.3275
Cu 1.8058 0.8832 1.5856
Ni 3.6117 1.7237 3.1724
Zn 0.0000 0.0000 0.0000
Ni 3.6117 2.4369 0.7407
```

magnetic moment = 0.00 μB per formula unit
distance to the lowest polymorph of the same formula = 0.000 eV/atom
SG = C2/m, No. 12
energy of formation = -0.072 eV per atom
energy = -0.1572 Ha/atom
volume = 58.7 Å³ per cell

***

First-principles (PBE) data for a relaxed structure of Zn2CuNi, as listed in Alexandria via LeMat-Bulk.

Geometry as extended XYZ:
```
4
Lattice="-1.5338 -4.2471 1.0824 2.4749 -2.0641 3.3431 -2.0113 4.1608 -0.4515" Properties=species:S:1:pos:R:3 pbc="T T T"
Zn 0.0000 0.0000 0.0000
Cu 0.4706 -3.1556 2.2127
Ni -1.5372 -1.6209 1.4218
Zn 0.4671 -0.5294 2.5522
```

magnetic moment = 0.00 μB per formula unit
SG = I-4m2, No. 119
energy of formation = -0.131 eV per atom
energy = -0.1190 Ha/atom
volume = 50.4 Å³ per cell

***

First-principles (PBE) data for a relaxed structure of Zn3Cu2Ni3, as listed in Alexandria via LeMat-Bulk.

Geometry as extended XYZ:
```
8
Lattice="-0.4729 1.5186 -2.2508 2.2254 -2.6920 -2.2838 -7.8532 -3.8721 0.7247" Properties=species:S:1:pos:R:3 pbc="T T T"
Cu -2.4087 -3.5965 -1.9205
Ni -1.7124 -1.0943 -0.3786
Zn -0.2364 0.7593 -1.1254
Ni -4.3883 -3.9512 -3.4313
Zn -0.8759 -1.7064 -2.6547
Cu -3.6920 -1.4491 -1.8894
Ni 1.1127 -1.3460 -1.1419
Zn -5.2248 -3.3391 -1.1552
```

magnetic moment = 0.00 μB per formula unit
distance to the lowest polymorph of the same formula = 0.000 eV/atom
SG = Immm, No. 71
energy of formation = -0.151 eV per atom
energy = -0.1404 Ha/atom
volume = 96.9 Å³ per cell

***

First-principles (PBE) data for a relaxed structure of Zn2CuNi, as listed in Alexandria via LeMat-Bulk.

Geometry as extended XYZ:
```
4
Lattice="-0.0880 -0.6944 4.1631 1.8686 -2.0839 -0.3081 3.1597 2.7555 0.5263" Properties=species:S:1:pos:R:3 pbc="T T T"
Cu 2.3262 -0.2921 0.0004
Zn 2.9753 2.1305 0.4182
Ni 3.9141 0.7835 2.3538
Zn 1.3986 0.4467 2.2445
```

magnetic moment = 0.00 μB per formula unit
SG = Pmm2, No. 25
energy of formation = -0.159 eV per atom
energy = -0.1200 Ha/atom
volume = 50.2 Å³ per cell